Below is a relaxed structure of CaLuMg, with properties calculated at the GGA-PBE level.

Cell lengths 3.6615, 3.6615, 13.7529 Å; angles 90.00, 90.00, 90.00 degrees
With the nearest neighbours (Å) after each atom.
Space group I4mm (No. 107)
One atom of each set of equivalent atoms:
Ca  0.0000  0.0000  0.0000 [2 per cell]  4 Mg 3.42, 4 Ca 3.66, 4 Lu 3.73
Lu  0.0000  0.0000  0.3043 [2 per cell]  4 Mg 3.24
Mg  0.0000  0.0000  0.6625 [2 per cell]  4 Lu 3.24, 4 Ca 3.42

Results
The value obtained for the offset from the most stable computed form is 0.0 meV/atom. The electronic total energy is -16.05 eV for the cell shown. The calculation puts the formation energy at 0.0312 eV per atom.